Material: Rb2LaPaSe4
Method: DFT, PBE-GGA
State: optimized geometry

* total energy: -5.3158 eV per atom
* space-group type: No. 10
* formation energy (no corrections): -12.23 eV/f.u.
* theoretical density: 5.4 g/cm³

a b c (Å): 4.3241 7.5667 8.4404
angles (deg): 107.11 90.00 90.00
With the nearest neighbours (Å) after each atom.
Sites, in units of the cell vectors:
Rb1 0.5000 0.0000 0.5000  6 Se 3.51-3.54
Rb2 0.0000 0.5000 0.5000  6 Se 3.43
La1 0.0000 0.0000 0.0000  6 Se 3.04-3.05
Pa1 0.5000 0.5000 0.0000  6 Se 2.92-2.95
Se1 0.5000 0.2468 0.2034  1 Pa 2.92, 2 La 3.04
Se2 0.5000 0.7532 0.7966  1 Pa 2.92, 2 La 3.04
Se3 0.0000 0.2766 0.7997  2 Pa 2.95, 1 La 3.05
Se4 0.0000 0.7234 0.2003  2 Pa 2.95, 1 La 3.05



Material: Rb3La3PaSe8
Method: DFT, PBE-GGA
State: optimized geometry

* total energy: -5.4031 eV per atom
* space-group type: No. 166
* formation energy (no corrections): -25.99 eV/f.u.
* theoretical density: 4.7 g/cm³

a b c (Å): 8.8300 8.8301 9.5749
angles (deg): 117.49 90.00 120.00
With the nearest neighbours (Å) after each atom.
Sites, in units of the cell vectors:
Rb1 0.0000 0.0000 0.0000  6 Se 3.52-3.53
Rb2 0.0000 0.5000 0.0000  6 Se 3.52-3.53
Rb3 0.5000 0.5000 0.0000  6 Se 3.52-3.53
La1 0.5000 0.0000 0.5000  6 Se 3.02-3.04
La2 0.5000 0.5000 0.5000  6 Se 3.02-3.04
La3 0.0000 0.5000 0.5000  6 Se 3.02-3.04
Pa1 0.0000 0.0000 0.5000  6 Se 2.89
Se1 0.2664 0.5327 0.2993  3 La 3.02
Se2 0.7336 0.4673 0.7007  3 La 3.02
Se3 0.7767 0.5533 0.3076  1 Pa 2.89, 2 La 3.04
Se4 0.2233 0.4467 0.6924  1 Pa 2.89, 2 La 3.04
Se5 0.7767 0.0307 0.3076  1 Pa 2.89, 2 La 3.04
Se6 0.2233 0.9693 0.6924  1 Pa 2.89, 2 La 3.04
Se7 0.2540 0.0307 0.3076  1 Pa 2.89, 2 La 3.04
Se8 0.7460 0.9693 0.6924  1 Pa 2.89, 2 La 3.04



Material: Rb2LaPaTe4
Method: DFT, PBE-GGA
State: optimized geometry

* total energy: -4.7935 eV per atom
* space-group type: No. 10
* formation energy (no corrections): -9.42 eV/f.u.
* theoretical density: 5.5 g/cm³

a b c (Å): 4.5873 8.0319 9.0281
angles (deg): 106.92 90.00 90.00
With the nearest neighbours (Å) after each atom.
Sites, in units of the cell vectors:
Rb1 0.5000 0.0000 0.5000  6 Te 3.71-3.73
Rb2 0.0000 0.5000 0.5000  6 Te 3.64
La1 0.0000 0.0000 0.0000  6 Te 3.24-3.26
Pa1 0.5000 0.5000 0.0000  6 Te 3.15-3.17
Te1 0.5000 0.2459 0.2078  1 Pa 3.15, 2 La 3.24
Te2 0.5000 0.7541 0.7922  1 Pa 3.15, 2 La 3.24
Te3 0.0000 0.2735 0.7953  2 Pa 3.17, 1 La 3.26
Te4 0.0000 0.7265 0.2047  2 Pa 3.17, 1 La 3.26